# 1
Computed, not measured: a geometry-optimized LiTlSi2 structure at the PBE-GGA level of DFT.

E above lowest polymorph = 88.7 meV/atom
final energy = -3.6273 eV/atom

abc: 8.998 3.719 5.232
angles: 90.00 102.49 90.00
Space group C2/m (No. 12)
Symmetry-distinct sites (fractional):
Li 0.000 0.000 0.000 x2
Tl 0.000 0.500 0.500 x2
Si 0.230 0.500 0.126 x4

# 2
Computed, not measured: a geometry-optimized LiTl2Si2 structure at the PBE-GGA level of DFT.

final energy = -3.3461 eV/atom

abc: 3.509 3.509 17.880
angles: 90.00 90.00 90.00
Space group I4/mmm (No. 139)
Symmetry-distinct sites (fractional):
Li 0.000 0.000 0.000 x2
Tl 0.000 0.000 0.396 x4
Si 0.000 0.500 0.250 x4

# 3
Computed, not measured: a geometry-optimized LiTmSi structure at the PBE-GGA level of DFT.

final energy = -4.0950 eV/atom

abc: 3.866 3.866 8.151
angles: 90.00 90.00 90.00
Space group I4mm (No. 107)
Symmetry-distinct sites (fractional):
Li 0.000 0.000 0.000 x2
Tm 0.000 0.000 0.672 x2
Si 0.000 0.000 0.315 x2

# 4
Computed, not measured: a geometry-optimized LiTm2Si3 structure at the PBE-GGA level of DFT.

final energy = -5.1149 eV/atom

abc: 7.722 8.135 14.027
angles: 90.00 90.00 90.00
Space group Fmmm (No. 69)
Symmetry-distinct sites (fractional):
Li 0.000 0.000 0.166 x8
Tm 0.243 0.000 0.500 x8
Tm 0.250 0.250 0.250 x8
Si 0.000 0.000 0.333 x8
Si 0.000 0.246 0.084 x16

# 5
Computed, not measured: a geometry-optimized LiTmSi structure at the PBE-GGA level of DFT.

final energy = -4.4328 eV/atom

abc: 12.148 4.204 6.890
angles: 90.00 90.00 90.00
Space group Pmma (No. 51)
Symmetry-distinct sites (fractional):
Li 0.135 0.000 0.075 x4
Li 0.250 0.000 0.731 x2
Tm 0.039 0.500 0.747 x4
Tm 0.250 0.500 0.381 x2
Si 0.095 0.000 0.455 x4
Si 0.250 0.500 0.958 x2

# 6
Computed, not measured: a geometry-optimized Li2Tm2Si3 structure at the PBE-GGA level of DFT.

final energy = -4.7237 eV/atom

abc: 4.201 17.819 6.650
angles: 90.00 90.00 90.00
Space group Cmcm (No. 63)
Symmetry-distinct sites (fractional):
Li 0.000 0.190 0.061 x8
Tm 0.000 0.344 0.250 x4
Tm 0.000 0.447 0.750 x4
Si 0.000 0.060 0.571 x8
Si 0.000 0.279 0.750 x4

# 7
Computed, not measured: a geometry-optimized LiTmSi structure at the PBE-GGA level of DFT.

final energy = -4.3481 eV/atom

abc: 6.499 6.499 6.499
angles: 90.00 90.00 90.00
Space group F-43m (No. 216)
Symmetry-distinct sites (fractional):
Li 0.000 0.000 0.000 x4
Tm 0.000 0.000 0.500 x4
Si 0.250 0.250 0.250 x4

# 8
Computed, not measured: a geometry-optimized LiTmSi structure at the PBE-GGA level of DFT.

final energy = -4.3811 eV/atom

abc: 4.3649 4.3649 3.4076
angles: 90.00 90.00 120.00
Space group P-6m2 (No. 187)
Symmetry-distinct sites (fractional):
Li 0.0000 0.0000 0.0000 x1
Tm 0.3333 0.6667 0.5000 x1
Si 0.6667 0.3333 0.0000 x1

# 9
Computed, not measured: a geometry-optimized Li4Tm3Si4 structure at the PBE-GGA level of DFT.

final energy = -4.4201 eV/atom

abc: 4.244 6.540 14.013
angles: 90.00 90.00 90.00
Space group Immm (No. 71)
Symmetry-distinct sites (fractional):
Li 0.000 0.191 0.172 x8
Tm 0.000 0.000 0.372 x4
Tm 0.000 0.500 0.500 x2
Si 0.000 0.317 0.000 x4
Si 0.000 0.500 0.286 x4

# 10
Computed, not measured: a geometry-optimized LiTmSi structure at the PBE-GGA level of DFT.

final energy = -4.1706 eV/atom

abc: 4.0538 4.0538 8.7820
angles: 90.00 90.00 120.00
Space group P-3m1 (No. 164)
Symmetry-distinct sites (fractional):
Li 0.3333 0.6667 0.4596 x2
Tm 0.3333 0.6667 0.8324 x2
Si 0.0000 0.0000 0.3623 x2

# 11
Computed, not measured: a geometry-optimized LiTmSi4 structure at the PBE-GGA level of DFT.

final energy = -4.9331 eV/atom

abc: 7.315 7.315 7.315
angles: 90.00 90.00 90.00
Space group F-43m (No. 216)
Symmetry-distinct sites (fractional):
Li 0.000 0.000 0.000 x4
Tm 0.250 0.250 0.250 x4
Si 0.127 0.127 0.627 x16

# 12
Computed, not measured: a geometry-optimized LiTmZnSi structure at the PBE-GGA level of DFT.

final energy = -3.6232 eV/atom

abc: 6.643 6.643 6.643
angles: 90.00 90.00 90.00
Space group F-43m (No. 216)
Symmetry-distinct sites (fractional):
Li 0.000 0.000 0.000 x4
Tm 0.000 0.000 0.500 x4
Zn 0.250 0.250 0.250 x4
Si 0.250 0.250 0.750 x4

Number 1: volume 21.37 Å³ per atom. Number 2: volume 22.01 Å³ per atom. Number 3: volume 20.31 Å³ per atom. Number 4: volume 18.36 Å³ per atom. Number 5: volume 19.55 Å³ per atom. Number 6: volume 17.78 Å³ per atom. Number 7: volume 22.87 Å³ per atom. Number 8: volume 18.74 Å³ per atom. Number 9: volume 17.68 Å³ per atom. Number 10: volume 20.83 Å³ per atom. Number 11: volume 16.31 Å³ per atom. Number 12: volume 18.32 Å³ per atom.